1.
DFT (PBE) results for crystalline Nd2Tc3C2 at its relaxed geometry.

Calculated values
SG: C2/m
Energy of formation: 0.15 eV/atom

a = 3.071 Å, b = 5.502 Å, c = 7.727 Å
α = 115.71°, β = 90.00°, γ = 106.21°
Positions (direct):
1 Tc 0.369 0.739 0.585
2 Tc 0.500 0.000 0.000
3 Nd 0.163 0.327 0.779
4 C 0.903 0.806 0.777
5 Tc 0.631 0.261 0.415
6 Nd 0.837 0.673 0.221
7 C 0.097 0.194 0.223

***

2.
DFT (PBE) results for crystalline Tb4AlBr5 at its relaxed geometry.

Calculated values
Formation energy from raw total energies: -1.294 eV/atom
SG: C2/m

a = 4.003 Å, b = 8.623 Å, c = 9.474 Å
α = 102.28°, β = 102.20°, γ = 90.00°
Positions (direct):
1 Br 0.167 0.329 0.334
2 Br 0.833 0.671 0.666
3 Br 0.826 0.158 0.652
4 Br 0.500 0.500 0.000
5 Tb 0.347 0.919 0.693
6 Tb 0.999 0.766 0.998
7 Tb 0.653 0.081 0.307
8 Br 0.174 0.842 0.348
9 Al 0.500 0.000 0.000
10 Tb 0.001 0.234 0.002

***

3.
DFT (PBE) results for crystalline TiSnPtAu at its relaxed geometry.

Calculated values
SG: F-43m
Energy of formation: -0.40 eV/atom

a = 4.666 Å, b = 4.666 Å, c = 4.666 Å
α = 60.00°, β = 60.00°, γ = 60.00°
Positions (direct):
1 Pt 0.500 0.500 0.500
2 Ti 0.250 0.250 0.250
3 Au 0.000 0.000 0.000
4 Sn 0.750 0.750 0.750

***

Across the entries above, V takes the values 15.98, 31.20, 17.96 Å³ per atom, respectively.